Entry 1:
Below is Ti2IrRh2 after structural relaxation, with properties calculated at the PBE-GGA level.

## Properties
- relative energy among the computed polymorphs (meV per atom) = 78
- ΔH_f (0 K) (meV/atom) = -462

The structure in CIF format:
```
data_Ti2IrRh2
_chemical_formula_sum 'Ti4 Ir2 Rh4'
_symmetry_space_group_name_H-M 'P 1'
_symmetry_Int_Tables_number 1
_cell_length_a 7.165
_cell_length_b 7.165
_cell_length_c 2.978
_cell_angle_alpha 90.00
_cell_angle_beta 90.00
_cell_angle_gamma 90.00
loop_
_symmetry_equiv_pos_as_xyz
'x,y,z'
loop_
_atom_site_label
_atom_site_fract_x
_atom_site_fract_y
_atom_site_fract_z
Ti1 0.160 0.340 0.000
Ti2 0.340 0.840 0.000
Ti3 0.660 0.160 0.000
Ti4 0.840 0.660 0.000
Ir1 0.000 0.000 0.000
Ir2 0.500 0.500 0.000
Rh1 0.142 0.642 0.500
Rh2 0.358 0.142 0.500
Rh3 0.642 0.858 0.500
Rh4 0.858 0.358 0.500
```

***

Entry 2:
Below is Li4Ho3InTe8 after structural relaxation, with properties calculated at the PBE-GGA level.

## Properties
- raw formation energy (eV/atom) = -1.079

The structure in CIF format:
```
data_Li4Ho3InTe8
_chemical_formula_sum 'Li4 Ho3 In1 Te8'
_symmetry_space_group_name_H-M 'P 1'
_symmetry_Int_Tables_number 1
_cell_length_a 8.630
_cell_length_b 8.630
_cell_length_c 8.630
_cell_angle_alpha 60.04
_cell_angle_beta 60.04
_cell_angle_gamma 60.04
loop_
_symmetry_equiv_pos_as_xyz
'x,y,z'
loop_
_atom_site_label
_atom_site_fract_x
_atom_site_fract_y
_atom_site_fract_z
Li1 0.000 0.000 0.000
Li2 0.000 0.500 0.500
Li3 0.500 0.000 0.500
Li4 0.500 0.500 0.000
Ho1 0.000 0.000 0.500
Ho2 0.000 0.500 0.000
Ho3 0.500 0.000 0.000
In1 0.500 0.500 0.500
Te1 0.251 0.251 0.745
Te2 0.251 0.745 0.251
Te3 0.252 0.252 0.252
Te4 0.255 0.749 0.749
Te5 0.745 0.251 0.251
Te6 0.748 0.748 0.748
Te7 0.749 0.255 0.749
Te8 0.749 0.749 0.255
```

***

Entry 3:
Below is Zr3TaN2 after structural relaxation, with properties calculated at the PBE-GGA level.

## Properties
- raw formation energy (eV/atom) = -1.114

The structure in CIF format:
```
data_Zr3TaN2
_chemical_formula_sum 'Zr6 Ta2 N4'
_symmetry_space_group_name_H-M 'P 1'
_symmetry_Int_Tables_number 1
_cell_length_a 5.360
_cell_length_b 5.360
_cell_length_c 6.515
_cell_angle_alpha 90.00
_cell_angle_beta 90.00
_cell_angle_gamma 88.01
loop_
_symmetry_equiv_pos_as_xyz
'x,y,z'
loop_
_atom_site_label
_atom_site_fract_x
_atom_site_fract_y
_atom_site_fract_z
Zr1 0.209 0.791 0.750
Zr2 0.294 0.294 0.000
Zr3 0.294 0.294 0.500
Zr4 0.706 0.706 0.000
Zr5 0.706 0.706 0.500
Zr6 0.791 0.209 0.250
Ta1 0.199 0.801 0.250
Ta2 0.801 0.199 0.750
N1 0.000 0.000 0.000
N2 0.000 0.000 0.500
N3 0.487 0.513 0.250
N4 0.513 0.487 0.750
```

***

Entry 4:
Below is PmY2Pb after structural relaxation, with properties calculated at the PBE-GGA level.

## Properties
- relative energy among the computed polymorphs (meV per atom) = 0
- ΔH_f (0 K) (meV/atom) = -299

The structure in CIF format:
```
data_PmY2Pb
_chemical_formula_sum 'Pm1 Y2 Pb1'
_symmetry_space_group_name_H-M 'P 1'
_symmetry_Int_Tables_number 1
_cell_length_a 4.936
_cell_length_b 4.936
_cell_length_c 4.855
_cell_angle_alpha 90.00
_cell_angle_beta 90.00
_cell_angle_gamma 90.00
loop_
_symmetry_equiv_pos_as_xyz
'x,y,z'
loop_
_atom_site_label
_atom_site_fract_x
_atom_site_fract_y
_atom_site_fract_z
Pm1 0.000 0.000 0.000
Y1 0.000 0.500 0.500
Y2 0.500 0.000 0.500
Pb1 0.500 0.500 0.000
```

***

Entry 5:
Below is TbPu2O11 after structural relaxation, with properties calculated at the PBE-GGA level.

## Properties
- raw formation energy (eV/atom) = -1.923

The structure in CIF format:
```
data_TbPu2O11
_chemical_formula_sum 'Tb2 Pu4 O22'
_symmetry_space_group_name_H-M 'P 1'
_symmetry_Int_Tables_number 1
_cell_length_a 8.484
_cell_length_b 8.484
_cell_length_c 8.572
_cell_angle_alpha 120.19
_cell_angle_beta 120.19
_cell_angle_gamma 77.97
loop_
_symmetry_equiv_pos_as_xyz
'x,y,z'
loop_
_atom_site_label
_atom_site_fract_x
_atom_site_fract_y
_atom_site_fract_z
Tb1 0.247 0.753 0.000
Tb2 0.753 0.247 0.000
Pu1 0.247 0.247 0.985
Pu2 0.249 0.249 0.509
Pu3 0.738 0.738 0.976
Pu4 0.752 0.752 0.498
O1 0.014 0.259 0.308
O2 0.015 0.259 0.967
O3 0.165 0.165 0.668
O4 0.239 0.487 0.025
O5 0.239 0.487 0.700
O6 0.259 0.014 0.308
O7 0.259 0.015 0.967
O8 0.380 0.380 0.382
O9 0.487 0.239 0.025
O10 0.487 0.239 0.700
O11 0.493 0.493 0.411
O12 0.510 0.757 0.966
O13 0.521 0.767 0.301
O14 0.613 0.613 0.606
O15 0.723 0.969 0.993
O16 0.740 0.985 0.692
O17 0.757 0.510 0.966
O18 0.767 0.521 0.301
O19 0.862 0.862 0.353
O20 0.969 0.723 0.993
O21 0.974 0.974 0.392
O22 0.985 0.740 0.692
```

***

Entry 6:
Below is Na2AgGe2 after structural relaxation, with properties calculated at the PBE-GGA level.

## Properties
- relative energy among the computed polymorphs (meV per atom) = 224
- ΔH_f (0 K) (meV/atom) = 160

The structure in CIF format:
```
data_Na2AgGe2
_chemical_formula_sum 'Na4 Ag2 Ge4'
_symmetry_space_group_name_H-M 'P 1'
_symmetry_Int_Tables_number 1
_cell_length_a 8.768
_cell_length_b 8.768
_cell_length_c 2.994
_cell_angle_alpha 90.00
_cell_angle_beta 90.00
_cell_angle_gamma 90.00
loop_
_symmetry_equiv_pos_as_xyz
'x,y,z'
loop_
_atom_site_label
_atom_site_fract_x
_atom_site_fract_y
_atom_site_fract_z
Na1 0.197 0.303 0.000
Na2 0.303 0.803 0.000
Na3 0.697 0.197 0.000
Na4 0.803 0.697 0.000
Ag1 0.000 0.000 0.000
Ag2 0.500 0.500 0.000
Ge1 0.099 0.599 0.500
Ge2 0.401 0.099 0.500
Ge3 0.599 0.901 0.500
Ge4 0.901 0.401 0.500
```

***

Entry 7:
Below is NaPdAuC2 after structural relaxation, with properties calculated at the PBE-GGA level.

## Properties
- ΔH_f (0 K) (meV/atom) = 1865

The structure in CIF format:
```
data_NaPdAuC2
_chemical_formula_sum 'Na1 Pd1 Au1 C2'
_symmetry_space_group_name_H-M 'P 1'
_symmetry_Int_Tables_number 1
_cell_length_a 4.058
_cell_length_b 4.058
_cell_length_c 5.315
_cell_angle_alpha 90.00
_cell_angle_beta 90.00
_cell_angle_gamma 90.00
loop_
_symmetry_equiv_pos_as_xyz
'x,y,z'
loop_
_atom_site_label
_atom_site_fract_x
_atom_site_fract_y
_atom_site_fract_z
Na1 0.000 0.000 0.000
Pd1 0.500 0.500 0.000
Au1 0.500 0.500 0.500
C1 0.000 0.500 0.500
C2 0.500 0.000 0.500
```

***

Entry 8:
Below is SrScAgB2 after structural relaxation, with properties calculated at the PBE-GGA level.

## Properties
- ΔH_f (0 K) (meV/atom) = 941

The structure in CIF format:
```
data_SrScAgB2
_chemical_formula_sum 'Sr1 Sc1 Ag1 B2'
_symmetry_space_group_name_H-M 'P 1'
_symmetry_Int_Tables_number 1
_cell_length_a 4.636
_cell_length_b 4.636
_cell_length_c 5.245
_cell_angle_alpha 90.00
_cell_angle_beta 90.00
_cell_angle_gamma 90.00
loop_
_symmetry_equiv_pos_as_xyz
'x,y,z'
loop_
_atom_site_label
_atom_site_fract_x
_atom_site_fract_y
_atom_site_fract_z
Sr1 0.000 0.000 0.000
Sc1 0.500 0.500 0.500
Ag1 0.500 0.500 0.000
B1 0.000 0.500 0.500
B2 0.500 0.000 0.500
```

***

Entry 9:
Below is MgCoRu2 after structural relaxation, with properties calculated at the PBE-GGA level.

## Properties
- ΔH_f (0 K) (meV/atom) = 268

The structure in CIF format:
```
data_MgCoRu2
_chemical_formula_sum 'Mg1 Co1 Ru2'
_symmetry_space_group_name_H-M 'P 1'
_symmetry_Int_Tables_number 1
_cell_length_a 5.071
_cell_length_b 5.071
_cell_length_c 2.674
_cell_angle_alpha 102.41
_cell_angle_beta 102.41
_cell_angle_gamma 116.90
loop_
_symmetry_equiv_pos_as_xyz
'x,y,z'
loop_
_atom_site_label
_atom_site_fract_x
_atom_site_fract_y
_atom_site_fract_z
Mg1 0.000 0.000 0.000
Co1 0.500 0.500 0.000
Ru1 0.000 0.500 0.500
Ru2 0.500 0.000 0.500
```

***

Entry 10:
Below is UPa2Ag after structural relaxation, with properties calculated at the PBE-GGA level.

## Properties
- relative energy among the computed polymorphs (meV per atom) = 0
- ΔH_f (0 K) (meV/atom) = 88

The structure in CIF format:
```
data_UPa2Ag
_chemical_formula_sum 'U1 Pa2 Ag1'
_symmetry_space_group_name_H-M 'P 1'
_symmetry_Int_Tables_number 1
_cell_length_a 5.359
_cell_length_b 5.359
_cell_length_c 3.133
_cell_angle_alpha 90.00
_cell_angle_beta 90.00
_cell_angle_gamma 90.00
loop_
_symmetry_equiv_pos_as_xyz
'x,y,z'
loop_
_atom_site_label
_atom_site_fract_x
_atom_site_fract_y
_atom_site_fract_z
U1 0.000 0.000 0.000
Pa1 0.000 0.500 0.500
Pa2 0.500 0.000 0.500
Ag1 0.500 0.500 0.000
```

***

Entry 11:
Below is Hg2PbC after structural relaxation, with properties calculated at the PBE-GGA level.

## Properties
- relative energy among the computed polymorphs (meV per atom) = 0
- ΔH_f (0 K) (meV/atom) = 995

The structure in CIF format:
```
data_Hg2PbC
_chemical_formula_sum 'Hg4 Pb2 C2'
_symmetry_space_group_name_H-M 'P 1'
_symmetry_Int_Tables_number 1
_cell_length_a 6.863
_cell_length_b 6.863
_cell_length_c 6.863
_cell_angle_alpha 120.05
_cell_angle_beta 120.05
_cell_angle_gamma 89.91
loop_
_symmetry_equiv_pos_as_xyz
'x,y,z'
loop_
_atom_site_label
_atom_site_fract_x
_atom_site_fract_y
_atom_site_fract_z
Hg1 0.375 0.127 0.252
Hg2 0.873 0.125 0.248
Hg3 0.875 0.123 0.748
Hg4 0.877 0.625 0.752
Pb1 0.250 0.750 0.500
Pb2 0.500 0.500 0.000
C1 0.000 0.000 0.000
C2 0.750 0.250 0.500
```

***

Entry 12:
Below is Rb4PrTm3Te8 after structural relaxation, with properties calculated at the PBE-GGA level.

## Properties
- raw formation energy (eV/atom) = -1.366

The structure in CIF format:
```
data_Rb4PrTm3Te8
_chemical_formula_sum 'Rb4 Pr1 Tm3 Te8'
_symmetry_space_group_name_H-M 'P 1'
_symmetry_Int_Tables_number 1
_cell_length_a 10.029
_cell_length_b 10.029
_cell_length_c 10.029
_cell_angle_alpha 53.76
_cell_angle_beta 53.76
_cell_angle_gamma 53.76
loop_
_symmetry_equiv_pos_as_xyz
'x,y,z'
loop_
_atom_site_label
_atom_site_fract_x
_atom_site_fract_y
_atom_site_fract_z
Rb1 0.000 0.000 0.000
Rb2 0.000 0.500 0.500
Rb3 0.500 0.000 0.500
Rb4 0.500 0.500 0.000
Pr1 0.500 0.500 0.500
Tm1 0.000 0.000 0.500
Tm2 0.000 0.500 0.000
Tm3 0.500 0.000 0.000
Te1 0.223 0.739 0.739
Te2 0.232 0.232 0.232
Te3 0.261 0.261 0.777
Te4 0.261 0.777 0.261
Te5 0.739 0.223 0.739
Te6 0.739 0.739 0.223
Te7 0.768 0.768 0.768
Te8 0.777 0.261 0.261
```

***

Number 1: calculated density 10.7 g/cm3, E_tot -8.332 eV per atom. Number 2: calculated density 6.1 g/cm3, E_tot -4.158 eV per atom. Number 3: calculated density 8.6 g/cm3, E_tot -10.139 eV per atom. Number 4: calculated density 7.4 g/cm3, E_tot -5.646 eV per atom. Number 5: calculated density 5.9 g/cm3, E_tot -8.196 eV per atom. Number 6: calculated density 4.3 g/cm3, E_tot -2.785 eV per atom. Number 7: calculated density 6.6 g/cm3, E_tot -3.783 eV per atom. Number 8: calculated density 3.9 g/cm3, E_tot -3.903 eV per atom. Number 9: calculated density 8.5 g/cm3, E_tot -6.545 eV per atom. Number 10: calculated density 14.9 g/cm3, E_tot -8.195 eV per atom. Number 11: calculated density 9.0 g/cm3, E_tot -2.388 eV per atom. Number 12: calculated density 5.5 g/cm3, E_tot -4.316 eV per atom.